A | Below is an optimized crystal structure of Cd2BrCl, with properties calculated at the PBE level.

The structure in POSCAR format:
```
Cd2BrCl
1.0
4.124 0.000 0.000
0.000 4.126 0.000
0.000 0.000 6.844
Cd Br Cl
2 1 1
Direct
0.000 0.000 0.000
0.000 0.500 0.500
0.500 0.000 0.500
0.500 0.500 0.000
```

Calculated values
**SG**: Pmmm, No. 47

B | Below is an optimized crystal structure of Cd2BrCl, with properties calculated at the PBE level.

The structure in POSCAR format:
```
Cd2BrCl
1.0
3.597 0.000 0.000
0.000 6.670 0.000
0.000 0.000 9.669
Cd Br Cl
4 2 2
Direct
0.000 0.000 0.000
0.000 0.500 0.262
0.500 0.000 0.762
0.500 0.500 0.500
0.000 0.500 0.717
0.500 0.000 0.217
0.000 0.000 0.564
0.500 0.500 0.064
```

Calculated values
**SG**: Imm2, No. 44

Unit: eV/atom. Relative energies: A 0.223; B 0.000.

A | Below is an optimized crystal structure of Cd2BrCl, with properties calculated at the PBE level.

The structure in POSCAR format:
```
Cd2BrCl
1.0
3.490 0.000 0.000
0.000 3.490 0.000
0.000 0.000 8.688
Cd Br Cl
2 1 1
Direct
0.000 0.000 0.000
0.500 0.500 0.261
0.500 0.500 0.811
0.000 0.000 0.429
```

Calculated values
**SG**: P4mm, No. 99

B | Below is an optimized crystal structure of Cd2BrCl, with properties calculated at the PBE level.

The structure in POSCAR format:
```
Cd2BrCl
1.0
6.127 0.000 0.000
0.000 3.756 0.000
-2.103 0.000 6.099
Cd Br Cl
2 1 1
Direct
0.134 0.000 0.371
0.866 0.000 0.629
0.000 0.500 0.000
0.500 0.500 0.500
```

Calculated values
**SG**: P2/m, No. 10

Unit: eV/atom. Relative energies: A 0.221; B 0.000.

A | Below is an optimized crystal structure of Cd2BrCl, with properties calculated at the PBE level.

The structure in POSCAR format:
```
Cd2BrCl
1.0
7.085 0.000 0.000
0.000 8.237 0.000
-3.193 0.000 4.089
Cd Br Cl
4 2 2
Direct
0.250 0.250 0.000
0.250 0.750 0.000
0.750 0.250 0.000
0.750 0.750 0.000
0.000 0.000 0.500
0.500 0.500 0.500
0.000 0.500 0.500
0.500 0.000 0.500
```

Calculated values
**SG**: C2/m, No. 12

B | Below is an optimized crystal structure of Cd2BrCl, with properties calculated at the PBE level.

The structure in POSCAR format:
```
Cd2BrCl
1.0
4.160 0.000 0.000
0.000 6.890 0.000
0.000 0.000 8.160
Cd Br Cl
4 2 2
Direct
0.000 0.000 0.242
0.000 0.000 0.758
0.500 0.500 0.258
0.500 0.500 0.742
0.000 0.500 0.000
0.500 0.000 0.500
0.000 0.500 0.500
0.500 0.000 0.000
```

Calculated values
**SG**: Immm, No. 71

C | Below is an optimized crystal structure of Cd2BrCl, with properties calculated at the PBE level.

The structure in POSCAR format:
```
Cd2BrCl
1.0
4.171 0.000 0.000
0.000 6.956 0.000
0.000 0.000 8.145
Cd Br Cl
4 2 2
Direct
0.000 0.000 0.243
0.000 0.000 0.757
0.500 0.500 0.243
0.500 0.500 0.757
0.000 0.500 0.500
0.500 0.000 0.500
0.000 0.500 0.000
0.500 0.000 0.000
```

Calculated values
**SG**: Cmmm, No. 65

Unit: eV/atom. Relative energies: A 0.000; B 0.012; C 0.020.

A | Below is an optimized crystal structure of Cd2BrCl2, with properties calculated at the PBE level.

The structure in POSCAR format:
```
Cd2BrCl2
1.0
8.059 0.000 0.000
0.000 5.634 0.000
0.000 0.000 12.736
Cd Br Cl
8 4 8
Direct
0.107 0.250 0.247
0.159 0.250 0.909
0.341 0.750 0.409
0.393 0.750 0.747
0.607 0.250 0.253
0.659 0.250 0.591
0.841 0.750 0.091
0.893 0.750 0.753
0.141 0.750 0.604
0.359 0.250 0.104
0.641 0.750 0.896
0.859 0.250 0.396
0.099 0.750 0.249
0.142 0.750 0.904
0.358 0.250 0.404
0.401 0.250 0.749
0.599 0.750 0.251
0.642 0.750 0.596
0.858 0.250 0.096
0.901 0.250 0.751
```

Calculated values
**SG**: Pnma, No. 62

B | Below is an optimized crystal structure of Cd2BrCl2, with properties calculated at the PBE level.

The structure in POSCAR format:
```
Cd2BrCl2
1.0
7.753 0.000 0.000
0.000 7.753 0.000
0.000 0.000 4.067
Cd Br Cl
4 2 4
Direct
0.167 0.333 0.000
0.333 0.833 0.000
0.667 0.167 0.000
0.833 0.667 0.000
0.000 0.000 0.000
0.500 0.500 0.000
0.154 0.654 0.500
0.346 0.154 0.500
0.654 0.846 0.500
0.846 0.346 0.500
```

Calculated values
**SG**: P4/mbm, No. 127

Unit: eV/atom. Relative energies: A 0.000; B 0.129.

A | Below is an optimized crystal structure of CdBr3Cl, with properties calculated at the PBE level.

The structure in POSCAR format:
```
CdBr3Cl
1.0
5.351 0.000 0.000
0.000 5.351 0.000
0.000 0.000 5.351
Cd Br Cl
1 3 1
Direct
0.000 0.000 0.000
0.000 0.500 0.500
0.500 0.000 0.500
0.500 0.500 0.000
0.500 0.500 0.500
```

Calculated values
**SG**: Pm-3m, No. 221

B | Below is an optimized crystal structure of CdBr3Cl, with properties calculated at the PBE level.

The structure in POSCAR format:
```
CdBr3Cl
1.0
5.496 0.000 0.000
0.000 5.496 0.000
0.000 0.000 5.496
Cd Br Cl
1 3 1
Direct
0.000 0.000 0.000
0.000 0.000 0.500
0.000 0.500 0.000
0.500 0.000 0.000
0.500 0.500 0.500
```

Calculated values
**SG**: Pm-3m, No. 221

Unit: eV/atom. Relative energies: A 0.269; B 0.000.

A | Below is an optimized crystal structure of CdInBr2Cl, with properties calculated at the PBE level.

The structure in POSCAR format:
```
CdInBr2Cl
1.0
5.544 0.000 0.000
0.000 5.544 0.000
0.000 0.000 5.193
Cd In Br Cl
1 1 2 1
Direct
0.000 0.000 0.000
0.500 0.500 0.500
0.000 0.500 0.000
0.500 0.000 0.000
0.000 0.000 0.500
```

Calculated values
**SG**: P4/mmm, No. 123

B | Below is an optimized crystal structure of CdInBr2Cl, with properties calculated at the PBE level.

The structure in POSCAR format:
```
CdInBr2Cl
1.0
-3.839 3.839 5.327
3.839 -3.839 5.327
3.839 3.839 -5.327
Cd In Br Cl
2 2 4 2
Direct
0.000 0.000 0.000
0.500 0.500 0.000
0.251 0.751 0.500
0.751 0.251 0.500
0.188 0.688 0.876
0.312 0.188 0.500
0.688 0.812 0.500
0.812 0.312 0.124
0.250 0.250 0.000
0.750 0.750 0.000
```

Calculated values
**SG**: I4cm, No. 108

Unit: eV/atom. Relative energies: A 0.024; B 0.000.

A | Below is an optimized crystal structure of KCdInBrCl, with properties calculated at the PBE level.

The structure in POSCAR format:
```
KCdInBrCl
1.0
19.383 0.000 0.000
0.000 4.236 0.000
-0.844 0.000 4.008
K Cd In Br Cl
2 2 2 2 2
Direct
0.000 0.000 0.000
0.500 0.500 0.000
0.247 0.500 0.752
0.747 0.000 0.752
0.295 0.000 0.300
0.795 0.500 0.300
0.132 0.500 0.139
0.632 0.000 0.139
0.439 0.000 0.441
0.939 0.500 0.441
```

Calculated values
**SG**: Cm, No. 8

B | Below is an optimized crystal structure of KCdInBrCl, with properties calculated at the PBE level.

The structure in POSCAR format:
```
KCdInBrCl
1.0
7.968 0.000 0.000
0.000 4.389 0.000
-2.030 0.000 9.787
K Cd In Br Cl
2 2 2 2 2
Direct
0.000 0.000 0.000
0.500 0.500 0.000
0.326 0.500 0.386
0.826 0.000 0.386
0.050 0.500 0.579
0.550 0.000 0.579
0.270 0.000 0.774
0.770 0.500 0.774
0.370 0.000 0.179
0.870 0.500 0.179
```

Calculated values
**SG**: Cm, No. 8

C | Below is an optimized crystal structure of KCdInBrCl, with properties calculated at the PBE level.

The structure in POSCAR format:
```
KCdInBrCl
1.0
7.699 0.000 0.000
0.000 4.455 0.000
-0.004 0.000 9.742
K Cd In Br Cl
2 2 2 2 2
Direct
0.000 0.000 0.000
0.500 0.500 0.000
0.168 0.500 0.412
0.668 0.000 0.412
0.003 0.000 0.605
0.503 0.500 0.605
0.334 0.000 0.216
0.834 0.500 0.216
0.334 0.000 0.801
0.834 0.500 0.801
```

Calculated values
**SG**: Cm, No. 8

Unit: eV/atom. Relative energies: A 0.000; B 0.037; C 0.044.

A | Below is an optimized crystal structure of KCdInBrCl, with properties calculated at the PBE level.

The structure in POSCAR format:
```
KCdInBrCl
1.0
5.804 0.000 0.000
0.000 5.801 0.000
-2.885 0.000 9.652
K Cd In Br Cl
2 2 2 2 2
Direct
0.000 0.000 0.000
0.500 0.500 0.000
0.262 0.000 0.530
0.762 0.500 0.530
0.218 0.500 0.442
0.718 0.000 0.442
0.406 0.000 0.811
0.906 0.500 0.811
0.086 0.500 0.174
0.586 0.000 0.174
```

Calculated values
**SG**: Cm, No. 8

B | Below is an optimized crystal structure of KCdInBrCl, with properties calculated at the PBE level.

The structure in POSCAR format:
```
KCdInBrCl
1.0
5.567 0.000 0.000
2.440 5.843 0.000
1.854 -0.348 6.126
K Cd In Br Cl
1 1 1 1 1
Direct
0.000 0.000 0.000
0.322 0.590 0.457
0.823 0.547 0.508
0.680 0.626 0.982
0.977 0.081 0.504
```

Calculated values
**SG**: P1, No. 1

C | Below is an optimized crystal structure of KCdInBrCl, with properties calculated at the PBE level.

The structure in POSCAR format:
```
KCdInBrCl
1.0
7.789 0.000 0.000
0.000 4.502 0.000
-0.005 0.000 9.608
K Cd In Br Cl
2 2 2 2 2
Direct
0.000 0.000 0.000
0.500 0.500 0.000
0.335 0.000 0.622
0.835 0.500 0.622
0.001 0.000 0.432
0.501 0.500 0.432
0.167 0.500 0.233
0.667 0.000 0.233
0.166 0.500 0.816
0.666 0.000 0.816
```

Calculated values
**SG**: Cm, No. 8

Unit: eV/atom. Relative energies: A 0.000; B 0.089; C 0.059.

A | Below is an optimized crystal structure of KCdBr2Cl, with properties calculated at the PBE level.

The structure in POSCAR format:
```
KCdBr2Cl
1.0
5.559 0.000 0.000
0.000 5.559 0.000
0.000 0.000 5.233
K Cd Br Cl
1 1 2 1
Direct
0.000 0.000 0.000
0.500 0.500 0.500
0.000 0.500 0.500
0.500 0.000 0.500
0.500 0.500 0.000
```

Calculated values
**SG**: P4/mmm, No. 123

B | Below is an optimized crystal structure of KCdBr2Cl, with properties calculated at the PBE level.

The structure in POSCAR format:
```
KCdBr2Cl
1.0
8.607 0.000 0.000
0.000 4.299 0.000
-1.626 0.000 8.755
K Cd Br Cl
2 2 4 2
Direct
0.191 0.250 0.372
0.809 0.750 0.628
0.352 0.250 0.830
0.648 0.750 0.170
0.323 0.750 0.045
0.412 0.750 0.638
0.588 0.250 0.362
0.677 0.250 0.955
0.063 0.250 0.706
0.937 0.750 0.294
```

Calculated values
**SG**: P2_1/m, No. 11

Unit: eV/atom. Relative energies: A 0.046; B 0.000.

A | Below is an optimized crystal structure of KCdBrCl2, with properties calculated at the PBE level.

The structure in POSCAR format:
```
KCdBrCl2
1.0
5.246 0.000 0.000
0.000 5.246 0.000
0.000 0.000 5.561
K Cd Br Cl
1 1 1 2
Direct
0.000 0.000 0.000
0.500 0.500 0.500
0.500 0.500 0.000
0.000 0.500 0.500
0.500 0.000 0.500
```

Calculated values
**SG**: P4/mmm, No. 123

B | Below is an optimized crystal structure of KCdBrCl2, with properties calculated at the PBE level.

The structure in POSCAR format:
```
KCdBrCl2
1.0
2.189 -8.204 0.000
2.189 8.204 0.000
0.000 0.000 8.488
K Cd Br Cl
2 2 2 4
Direct
0.210 0.790 0.750
0.790 0.210 0.250
0.500 0.500 0.000
0.500 0.500 0.500
0.003 0.997 0.250
0.997 0.003 0.750
0.350 0.650 0.008
0.350 0.650 0.492
0.650 0.350 0.508
0.650 0.350 0.992
```

Calculated values
**SG**: Cmcm, No. 63

Unit: eV/atom. Relative energies: A 0.022; B 0.000.

A | Below is an optimized crystal structure of NaCdBrCl2, with properties calculated at the PBE level.

The structure in POSCAR format:
```
NaCdBrCl2
1.0
5.188 0.000 0.000
0.000 5.188 0.000
0.000 0.000 5.571
Na Cd Br Cl
1 1 1 2
Direct
0.000 0.000 0.000
0.500 0.500 0.500
0.500 0.500 0.000
0.000 0.500 0.500
0.500 0.000 0.500
```

Calculated values
**SG**: P4/mmm, No. 123

B | Below is an optimized crystal structure of NaCdBrCl2, with properties calculated at the PBE level.

The structure in POSCAR format:
```
NaCdBrCl2
1.0
1.939 -6.472 0.000
1.939 6.472 0.000
0.000 0.000 10.155
Na Cd Br Cl
2 2 2 4
Direct
0.234 0.766 0.750
0.766 0.234 0.250
0.000 0.000 0.000
0.000 0.000 0.500
0.092 0.908 0.250
0.908 0.092 0.750
0.367 0.633 0.067
0.367 0.633 0.433
0.633 0.367 0.567
0.633 0.367 0.933
```

Calculated values
**SG**: Cmcm, No. 63

Unit: eV/atom. Relative energies: A 0.133; B 0.000.